The following is a GGA-PBE calculation of crystalline MnTcPb at its relaxed geometry, from Alexandria via LeMat-Bulk.

Values from the calculation:
* total energy: -7.1081 eV per atom
* total moment: 0.995 μB per atom

Cell and atoms, written as POSCAR:
```
MnTcPb
1.0
4.311 0.000 0.000
-2.156 3.734 0.000
0.000 0.000 3.341
Mn Pb Tc
1 1 1
Direct
0.000 0.000 0.903
0.667 0.333 0.318
0.333 0.667 0.779
```